Entry 1:
First-principles (PBE-GGA) data for crystalline CaGa3Ni2 at its relaxed geometry, as listed in the Alexandria database.

The calculation puts the density of states at the Fermi level at 12.386 states/eV per cell. Its formation energy is -47 kJ/mol of atoms. The total magnetization comes out at 0.000 μB per cell.

The space group is Cmcm (No. 63) and the conventional cell measures 9.804, 7.897 and 5.165 Å, with angles of 90.00, 90.00 and 90.00 degrees. The asymmetric unit holds Ca at (0.000, 0.156, 0.250), Ga at (0.000, 0.450, 0.750), Ga at (0.187, 0.221, 0.750) and Ni at (0.211, 0.500, 0.000).

***

Entry 2:
First-principles (PBE-GGA) data for crystalline CaGa3Ni at its relaxed geometry, as listed in the Alexandria database.

The calculation puts the density of states at the Fermi level at 2.040 states/eV per cell. Its formation energy is -30 kJ/mol of atoms. The total magnetization comes out at 0.000 μB per cell.

The space group is Pm-3m (No. 221) and the conventional cell measures 4.621, 4.621 and 4.621 Å, with angles of 90.00, 90.00 and 90.00 degrees. The asymmetric unit holds Ca at (0.000, 0.000, 0.000), Ga at (0.000, 0.500, 0.500) and Ni at (0.500, 0.500, 0.500).

***

Entry 3:
First-principles (PBE-GGA) data for crystalline Ca2GaNi2 at its relaxed geometry, as listed in the Alexandria database.

The calculation puts the density of states at the Fermi level at 6.957 states/eV per cell. Its formation energy is -6 kJ/mol of atoms. The total magnetization comes out at 0.641 μB per cell.

The space group is I4/mmm (No. 139) and the conventional cell measures 3.369, 3.369 and 18.311 Å, with angles of 90.00, 90.00 and 90.00 degrees. The asymmetric unit holds Ca at (0.000, 0.000, 0.119), Ga at (0.000, 0.000, 0.500) and Ni at (0.000, 0.500, 0.250).

***

Entry 4:
First-principles (PBE-GGA) data for crystalline CaGaNi4 at its relaxed geometry, as listed in the Alexandria database.

The calculation puts the density of states at the Fermi level at 19.662 states/eV per cell. Its formation energy is -11 kJ/mol of atoms. The total magnetization comes out at 0.000 μB per cell.

The space group is Cmcm (No. 63) and the conventional cell measures 3.819, 14.908 and 6.073 Å, with angles of 90.00, 90.00 and 90.00 degrees. The asymmetric unit holds Ca at (0.000, 0.106, 0.250), Ga at (0.000, 0.233, 0.750), Ni at (0.000, 0.075, 0.750), Ni at (0.000, 0.332, 0.057) and Ni at (0.000, 0.500, 0.000).